(1)
This record from the Alexandria database describes an optimized crystal structure of Ac3Zn5Ag6. The functional is PBE.

Results
- DFT formation energy: -0.256 eV/atom
- Space group: Pmmn (59)
- Fermi-level density of states: 7.671 states/eV/f.u.
- Magnetic moment: 0.0 μB per formula unit

Lattice parameters (Å, degrees): 4.695 9.644 13.885 90.00 90.00 90.00
Element x y z (fractional)
Ac1 0.000 0.253 0.704
Ac2 0.500 0.747 0.204
Ac3 0.500 0.747 0.796
Ac4 0.000 0.247 0.000
Ac5 0.500 0.753 0.500
Ac6 0.000 0.253 0.296
Zn1 0.000 0.537 0.874
Zn2 0.000 0.900 0.663
Zn3 0.000 0.746 0.000
Zn4 0.500 0.463 0.626
Zn5 0.500 0.254 0.500
Zn6 0.000 0.537 0.126
Zn7 0.500 0.463 0.374
Zn8 0.000 0.900 0.337
Zn9 0.500 0.100 0.837
Zn10 0.500 0.100 0.163
Ag1 0.000 0.964 0.870
Ag2 0.500 0.036 0.630
Ag3 0.500 0.386 0.840
Ag4 0.500 0.568 0.000
Ag5 0.000 0.432 0.500
Ag6 0.000 0.614 0.660
Ag7 0.000 0.614 0.340
Ag8 0.500 0.939 0.000
Ag9 0.000 0.964 0.130
Ag10 0.500 0.386 0.160
Ag11 0.000 0.061 0.500
Ag12 0.500 0.036 0.370

***

(2)
This record from the Alexandria database describes an optimized crystal structure of Ac4Zn2Ag5. The functional is PBE.

Results
- DFT formation energy: -0.253 eV/atom
- Space group: P2/m (10)
- Fermi-level density of states: 7.453 states/eV/f.u.
- Magnetic moment: 0.0 μB per formula unit

Lattice parameters (Å, degrees): 4.208 8.044 9.160 86.96 90.00 90.00
Element x y z (fractional)
Ac1 0.500 0.728 0.637
Ac2 0.500 0.227 0.863
Ac3 0.500 0.272 0.363
Ac4 0.500 0.773 0.137
Zn1 0.000 0.066 0.620
Zn2 0.000 0.934 0.380
Ag1 0.000 0.600 0.369
Ag2 0.000 0.116 0.123
Ag3 0.000 0.500 0.000
Ag4 0.000 0.884 0.877
Ag5 0.000 0.400 0.631

***

(3)
This record from the Alexandria database describes an optimized crystal structure of AcZn2Ag6. The functional is PBE.

Results
- DFT formation energy: 0.187 eV/atom
- Space group: Fd-3m (227)
- Fermi-level density of states: 2.750 states/eV/f.u.
- Magnetic moment: 0.0 μB per formula unit

Lattice parameters (Å, degrees): 8.549 8.549 8.549 60.00 60.00 60.00
Element x y z (fractional)
Ac1 0.500 0.500 0.500
Ac2 0.750 0.750 0.750
Zn1 0.125 0.125 0.125
Zn2 0.125 0.625 0.125
Zn3 0.125 0.125 0.625
Zn4 0.625 0.125 0.125
Ag1 0.241 0.241 0.759
Ag2 0.759 0.759 0.241
Ag3 0.241 0.759 0.241
Ag4 0.241 0.759 0.759
Ag5 0.491 0.491 0.009
Ag6 0.491 0.009 0.009
Ag7 0.759 0.241 0.759
Ag8 0.009 0.009 0.491
Ag9 0.491 0.009 0.491
Ag10 0.009 0.491 0.491
Ag11 0.759 0.241 0.241
Ag12 0.009 0.491 0.009

***

(4)
This record from the Alexandria database describes an optimized crystal structure of AcZn2Ag2. The functional is PBE.

Results
- Polymorph energy (0 for the lowest one): 2.7 meV/atom
- DFT formation energy: -0.240 eV/atom
- Space group: P4/nmm (129)
- Fermi-level density of states: 3.022 states/eV/f.u.
- Magnetic moment: 0.0 μB per formula unit

Lattice parameters (Å, degrees): 4.444 4.444 11.413 90.00 90.00 90.00
Element x y z (fractional)
Ac1 0.500 0.000 0.247
Ac2 0.000 0.500 0.753
Zn1 0.000 0.500 0.368
Zn2 0.500 0.000 0.632
Zn3 0.500 0.500 0.000
Zn4 0.000 0.000 0.000
Ag1 0.500 0.500 0.500
Ag2 0.000 0.000 0.500
Ag3 0.000 0.500 0.134
Ag4 0.500 0.000 0.866

***

(5)
This record from the Alexandria database describes an optimized crystal structure of Ac3Zn3Ag. The functional is PBE.

Results
- DFT formation energy: -0.257 eV/atom
- Space group: Imm2 (44)
- Fermi-level density of states: 6.596 states/eV/f.u.
- Magnetic moment: 0.0 μB per formula unit

Lattice parameters (Å, degrees): 4.718 4.032 10.985 100.57 102.40 90.00
Element x y z (fractional)
Ac1 0.310 0.810 0.621
Ac2 0.689 0.189 0.378
Ac3 0.001 0.001 0.002
Zn1 0.134 0.634 0.267
Zn2 0.863 0.363 0.727
Zn3 0.566 0.566 0.133
Ag1 0.436 0.436 0.872

***

(6)
This record from the Alexandria database describes an optimized crystal structure of Ac2Zn3Ag4. The functional is PBE.

Results
- Polymorph energy (0 for the lowest one): 0.0 meV/atom
- DFT formation energy: -0.239 eV/atom
- Space group: Fmmm (69)
- Fermi-level density of states: 3.884 states/eV/f.u.
- Magnetic moment: 0.0 μB per formula unit

Lattice parameters (Å, degrees): 5.539 5.680 7.849 80.09 69.34 60.82
Element x y z (fractional)
Ac1 0.635 0.000 0.729
Ac2 0.365 0.000 0.271
Zn1 0.000 0.500 0.000
Zn2 0.000 0.000 0.000
Zn3 0.500 0.500 0.000
Ag1 0.006 0.656 0.332
Ag2 0.662 0.344 0.332
Ag3 0.994 0.344 0.668
Ag4 0.338 0.656 0.668